[1]
CsNa2TcO4 | PBE-GGA | relaxed

The space group is I-42m (No. 121) and the conventional cell measures 6.053, 6.053 and 8.055 Å, with angles of 90.00, 90.00 and 90.00 degrees. The inequivalent atoms are Cs at (0.000, 0.000, 0.000), Na at (0.000, 0.500, 0.250), Tc at (0.000, 0.000, 0.500) and O at (0.175, 0.175, 0.636).

As for the uncorrected formation energy: -148.1 kJ/mol of atoms.

---

[2]
CsNaPr2Te4 | PBE-GGA | relaxed

The space group is Cmcm (No. 63) and the conventional cell measures 4.756, 15.731 and 16.803 Å, with angles of 90.00, 90.00 and 90.00 degrees. The inequivalent atoms are Cs at (0.000, 0.115, 0.250), Na at (0.000, 0.173, 0.750), Pr at (0.000, 0.369, 0.064), Te at (0.000, 0.000, 0.000), Te at (0.000, 0.264, 0.598) and Te at (0.000, 0.433, 0.250).

As for the uncorrected formation energy: -124.4 kJ/mol of atoms.

---

[3]
ThMgSc2 | PBE-GGA | relaxed

The space group is R-3m (No. 166, hexagonal axes) and the conventional cell measures 3.4014, 3.4014 and 31.5142 Å, with angles of 90.00, 90.00 and 120.00 degrees. The inequivalent atoms are Th at (0.0000, 0.0000, 0.0000), Mg at (0.0000, 0.0000, 0.5000) and Sc at (0.0000, 0.0000, 0.2485).

The energy of formation from the pure elements is 0.030 eV/atom.

---

[4]
Hg2OsRh | PBE-GGA | relaxed

The space group is Cmmm (No. 65) and the conventional cell measures 5.963, 8.024 and 2.900 Å, with angles of 90.00, 90.00 and 90.00 degrees. The inequivalent atoms are Hg at (0.250, 0.250, 0.000), Os at (0.000, 0.000, 0.500) and Rh at (0.000, 0.500, 0.500).

The energy of formation from the pure elements is 0.732 eV/atom.